Record 1
DFT (PBE) results for a geometry-optimized CoRu structure.

Cell and atoms, written as extended XYZ:
```
4
Lattice="2.649 0.000 0.000 0.000 2.649 0.000 0.000 0.000 7.112" Properties=species:S:1:pos:R:3 pbc="T T T"
Co 0.662 0.662 0.796
Co 1.987 1.987 6.316
Ru 0.662 0.662 4.505
Ru 1.987 1.987 2.607
```

Output
- Size of the total moment: 1.37 μB per formula unit
- ρ: 10.65 g/cm³
- Formation energy: 0.16 eV per atom
- Symmetry: P4/nmm, No. 129

=====

Record 2
DFT (PBE) results for a geometry-optimized Tb2PmSeO8 structure.

Cell and atoms, written as extended XYZ:
```
12
Lattice="4.990 0.000 0.000 0.000 6.867 0.000 -0.043 0.000 4.996" Properties=species:S:1:pos:R:3 pbc="T T T"
Tb 0.000 1.666 0.000
Tb 0.000 5.200 0.000
Pm 2.474 3.433 2.498
Se 2.474 0.000 2.498
O 0.878 3.433 4.072
O 1.175 0.000 3.781
O 1.593 1.333 1.604
O 1.593 5.534 1.604
O 3.354 1.333 3.392
O 3.354 5.534 3.392
O 3.772 0.000 1.216
O 4.070 3.433 0.925
```

Output
- Size of the total moment: 0.89 μB per formula unit
- E_form (uncorrected): -27.14 eV/f.u.
- ρ: 6.50 g/cm³
- Symmetry: P2/m, No. 10